The following is a DFT calculation (PBE with a Hubbard U) of an optimized crystal structure of VIrRuO6.

Values from the calculation:
ρ, g/cm³: 7.8
Uncorrected energy, eV per atom: -7.3021
Spin magnetization, μB/f.u.: 1.1

Structure (CIF):
```
data_VIrRuO6
_symmetry_space_group_name_H-M 'P -3 1 c'
_symmetry_Int_Tables_number 163
_symmetry_space_group_name_Hall '-P 3 2c'
_cell_length_a 4.9080
_cell_length_b 4.9080
_cell_length_c 9.0356
_cell_angle_alpha 90.00
_cell_angle_beta 90.00
_cell_angle_gamma 120.00
loop_
_atom_site_label
_atom_site_type_symbol
_atom_site_fract_x
_atom_site_fract_y
_atom_site_fract_z
V1 V 0.3333 0.6667 0.2500
Ir1 Ir 0.3333 0.6667 0.7500
Ru1 Ru 0.0000 0.0000 0.0000
O1 O 0.0156 0.3382 0.1270
```